{
  "formula": "ReSe2O8",
  "functional": "PBE-GGA",
  "state": "relaxed",
  "cell": [[5.382, -3.547, 0.000], [5.382, 3.547, 0.000], [-1.048, 0.000, 5.232]],
  "species": ["Re", "Se", "Se", "O", "O", "O", "O", "O", "O", "O", "O"],
  "frac_coords": [[0.000, 0.000, 0.000], [0.169, 0.169, 0.639], [0.831, 0.831, 0.361], [0.097, 0.739, 0.195], [0.147, 0.147, 0.257], [0.261, 0.903, 0.805], [0.321, 0.321, 0.738], [0.679, 0.679, 0.262], [0.739, 0.097, 0.195], [0.853, 0.853, 0.743], [0.903, 0.261, 0.805]],
  "formation_energy_uncorrected_ev_per_atom": -0.674,
  "magmom_total_mub_per_fu": 0.0
}